A plane-wave DFT calculation with PBE was carried out for Sc2CdI after structural relaxation.

Formation energy (no corrections) in eV/atom: -0.116
Crystal system: cubic
Relative energy among the computed polymorphs in eV/atom: 0.0000
Final energy in eV/atom: -3.898
Space-group type: Fm-3m

Unit cell a=5.1347 b=5.1347 c=5.1347 alpha=60.00 beta=60.00 gamma=60.00
Atoms (fractional coordinates):
I (0.5000, 0.5000, 0.5000)
Sc (0.2500, 0.2500, 0.2500)
Sc (0.7500, 0.7500, 0.7500)
Cd (0.0000, 0.0000, 0.0000)

---

A plane-wave DFT calculation with PBE was carried out for Er3NbAl8 after structural relaxation.

Crystal system: trigonal
Final energy in eV/atom: -4.914
Space-group type: R3m

Unit cell a=5.4199 b=5.4199 c=9.4127 alpha=73.27 beta=73.27 gamma=60.00
Atoms (fractional coordinates):
Er (0.3752, 0.3752, 0.8744)
Er (0.9982, 0.9982, 0.0053)
Er (0.5011, 0.5011, 0.4968)
Nb (0.8753, 0.8753, 0.3740)
Al (0.9341, 0.4357, 0.1945)
Al (0.4415, 0.9392, 0.6802)
Al (0.4357, 0.4357, 0.1945)
Al (0.9392, 0.9392, 0.6802)
Al (0.1877, 0.1877, 0.4368)
Al (0.6872, 0.6872, 0.9385)
Al (0.4357, 0.9341, 0.1945)
Al (0.9392, 0.4415, 0.6802)

---

A plane-wave DFT calculation with PBE was carried out for Ca3SiCl2O4 after structural relaxation.

Formation energy (no corrections) in eV/atom: -2.881
Crystal system: monoclinic
Final energy in eV/atom: -6.376
Space-group type: P2_1/c

Unit cell a=6.8551 b=9.9292 c=10.9226 alpha=74.24 beta=90.00 gamma=90.00
Atoms (fractional coordinates):
Ca (0.7408, 0.8003, 0.0465)
Ca (0.2408, 0.1997, 0.4535)
Ca (0.2592, 0.1997, 0.9535)
Ca (0.7592, 0.8003, 0.5465)
Ca (0.4649, 0.9220, 0.2723)
Ca (0.9649, 0.0780, 0.2277)
Ca (0.5351, 0.0780, 0.7277)
Ca (0.0351, 0.9220, 0.7723)
Ca (0.2157, 0.5771, 0.1104)
Ca (0.7157, 0.4229, 0.3896)
Ca (0.7843, 0.4229, 0.8896)
Ca (0.2843, 0.5771, 0.6104)
Cl (0.8023, 0.4892, 0.1256)
Cl (0.3023, 0.5108, 0.3744)
Cl (0.1977, 0.5108, 0.8744)
Cl (0.6977, 0.4892, 0.6256)
Cl (0.8154, 0.7110, 0.3197)
Cl (0.3154, 0.2890, 0.1803)
Cl (0.1846, 0.2890, 0.6803)
Cl (0.6846, 0.7110, 0.8197)
O (0.4172, 0.7678, 0.1007)
O (0.9172, 0.2322, 0.3993)
O (0.5828, 0.2322, 0.8993)
O (0.0828, 0.7678, 0.6007)
O (0.0673, 0.7831, 0.0073)
O (0.5673, 0.2169, 0.4927)
O (0.9327, 0.2169, 0.9927)
O (0.4327, 0.7831, 0.5073)
O (0.2080, 0.9866, 0.1212)
O (0.7080, 0.0134, 0.3788)
O (0.7920, 0.0134, 0.8788)
O (0.2920, 0.9866, 0.6212)
O (0.1971, 0.9887, 0.3890)
O (0.6971, 0.0113, 0.1110)
O (0.8029, 0.0113, 0.6110)
O (0.3029, 0.9887, 0.8890)
Si (0.2501, 0.8827, 0.0295)
Si (0.7501, 0.1173, 0.4705)
Si (0.7499, 0.1173, 0.9705)
Si (0.2499, 0.8827, 0.5295)

---

A plane-wave DFT calculation with PBE was carried out for Ba2In2Hg after structural relaxation.

Crystal system: monoclinic
Relative energy among the computed polymorphs in eV/atom: 0.0000
Final energy in eV/atom: -2.357
Space-group type: C2/m

Unit cell a=5.2479 b=6.7017 c=11.5667 alpha=85.04 beta=76.89 gamma=66.95
Atoms (fractional coordinates):
Ba (0.6887, 0.2885, 0.3340)
Ba (0.9181, 0.2782, 0.8856)
Ba (0.3113, 0.7115, 0.6660)
Ba (0.0819, 0.7218, 0.1144)
In (0.0828, 0.2786, 0.5559)
In (0.6233, 0.8620, 0.8913)
In (0.9172, 0.7214, 0.4441)
In (0.3767, 0.1380, 0.1087)
Hg (0.6202, 0.1069, 0.6527)
Hg (0.3798, 0.8931, 0.3473)

---

A plane-wave DFT calculation with PBE was carried out for Tl3HgRh after structural relaxation.

Crystal system: monoclinic
Relative energy among the computed polymorphs in eV/atom: 0.1053
Final energy in eV/atom: -2.868
Space-group type: C2/c

Unit cell a=14.0761 b=8.9655 c=8.9655 alpha=109.19 beta=134.83 gamma=45.17
Atoms (fractional coordinates):
Tl (0.3238, 0.4778, 0.3558)
Tl (0.1762, 0.8558, 0.9778)
Tl (0.6762, 0.5222, 0.6442)
Tl (0.8238, 0.1442, 0.0222)
Tl (0.1286, 0.2769, 0.1663)
Tl (0.3714, 0.6663, 0.7769)
Tl (0.8714, 0.7231, 0.8337)
Tl (0.6286, 0.3337, 0.2231)
Tl (0.5027, 0.1004, 0.7628)
Tl (0.9973, 0.2628, 0.6004)
Tl (0.4973, 0.8996, 0.2372)
Tl (0.0027, 0.7372, 0.3996)
Rh (0.1266, 0.3289, 0.4866)
Rh (0.3734, 0.9866, 0.8289)
Rh (0.8734, 0.6711, 0.5134)
Rh (0.6266, 0.0134, 0.1711)
Hg (0.7500, 0.0847, 0.5847)
Hg (0.2500, 0.9153, 0.4153)
Hg (0.7500, 0.5903, 0.0903)
Hg (0.2500, 0.4097, 0.9097)

---

A plane-wave DFT calculation with PBE was carried out for MnHg2Te after structural relaxation.

Formation energy (no corrections) in eV/atom: 0.293
Crystal system: trigonal
Final energy in eV/atom: -2.935
Space-group type: R-3m

Unit cell a=8.3923 b=8.3923 c=8.3923 alpha=25.93 beta=25.93 gamma=25.93
Each line ends with the local moment (μB).
Atoms (fractional coordinates):
Hg (0.9917, 0.9917, 0.9917)  0.01
Hg (0.5083, 0.5083, 0.5083)  0.01
Mn (0.2500, 0.2500, 0.2500)  4.12
Te (0.7500, 0.7500, 0.7500)  0.01

---

A plane-wave DFT calculation with PBE was carried out for CaCeCdIn after structural relaxation.

Crystal system: cubic
Final energy in eV/atom: -3.240
Space-group type: F-43m

Unit cell a=5.4481 b=5.4481 c=5.4481 alpha=60.00 beta=60.00 gamma=60.00
Each line ends with the local moment (μB).
Atoms (fractional coordinates):
Ca (0.0000, 0.0000, 0.0000)  0.00
Cd (0.7500, 0.7500, 0.7500)  0.01
Ce (0.5000, 0.5000, 0.5000)  0.86
In (0.2500, 0.2500, 0.2500)  0.00

---

A plane-wave DFT calculation with PBE was carried out for Pr2Zn3In after structural relaxation.

Crystal system: orthorhombic
Final energy in eV/atom: -3.067
Space-group type: Fmmm

Unit cell a=6.0337 b=6.0337 c=8.9321 alpha=105.60 beta=105.60 gamma=101.75
Atoms (fractional coordinates):
Pr (0.2500, 0.7500, 0.5000)
Pr (0.7601, 0.7601, 0.0000)
Pr (0.7500, 0.2500, 0.5000)
Pr (0.2399, 0.2399, 0.0000)
Zn (0.3264, 0.8350, 0.1615)
Zn (0.1650, 0.6736, 0.8385)
Zn (0.6736, 0.1650, 0.8385)
Zn (0.8350, 0.3264, 0.1615)
Zn (0.1634, 0.1634, 0.3267)
Zn (0.8366, 0.8366, 0.6733)
In (0.6647, 0.6647, 0.3295)
In (0.3352, 0.3352, 0.6705)